Fe11Pd4Pt9 | PBE | relaxed

Geometry as POSCAR:
```
Fe11Pd4Pt9
1.0
2.7210 0.0000 0.0000
0.0000 10.9397 -2.5293
0.0000 1.9733 11.0535
Fe Pd Pt
11 4 9
Direct
0.0000 0.5840 0.9299 Fe
0.0000 0.4160 0.0701 Fe
0.0000 0.9299 0.5840 Fe
0.0000 0.0701 0.4160 Fe
0.0000 0.6508 0.3492 Fe
0.0000 0.3492 0.6508 Fe
0.0000 0.8283 0.1717 Fe
0.0000 0.1717 0.8283 Fe
0.0000 0.0000 0.0000 Fe
0.0000 0.7634 0.7634 Fe
0.0000 0.2366 0.2366 Fe
0.5000 0.5636 0.7301 Pd
0.5000 0.4364 0.2699 Pd
0.5000 0.7301 0.5636 Pd
0.5000 0.2699 0.4364 Pd
0.5000 0.6251 0.1349 Pt
0.5000 0.3749 0.8651 Pt
0.5000 0.1349 0.6251 Pt
0.5000 0.8651 0.3749 Pt
0.5000 0.7942 0.9655 Pt
0.5000 0.2058 0.0345 Pt
0.5000 0.9655 0.7942 Pt
0.5000 0.0345 0.2058 Pt
0.5000 0.5000 0.5000 Pt
```

Values from the calculation:
ΔE_f = -153 meV/atom
DOS at the Fermi energy = 17.47 states/eV/f.u.
total magnetic moment = 37.2 μB/f.u.

FePd2Pt2 | PBE | relaxed

Geometry as POSCAR:
```
FePd2Pt2
1.0
3.5970 0.0000 0.0000
0.0000 3.5970 0.0000
-1.7985 -1.7985 6.7393
Fe Pd Pt
1 2 2
Direct
0.0000 0.0000 0.0000 Fe
0.4049 0.4049 0.8099 Pd
0.5951 0.5951 0.1901 Pd
0.7500 0.2500 0.5000 Pt
0.2500 0.7500 0.5000 Pt
```

Values from the calculation:
ΔE_f = 385 meV/atom
DOS at the Fermi energy = 5.89 states/eV/f.u.
total magnetic moment = 4.4 μB/f.u.

Fe2Pd4Pt3 | PBE | relaxed

Geometry as POSCAR:
```
Fe2Pd4Pt3
1.0
3.9226 0.0002 0.0002
1.9610 4.2052 1.2145
-0.0004 0.3976 8.2484
Fe Pd Pt
2 4 3
Direct
0.3323 0.3355 0.7755 Fe
0.6677 0.6645 0.2245 Fe
0.6664 0.6672 0.8921 Pd
0.9970 0.0061 0.3294 Pd
0.0030 0.9939 0.6706 Pd
0.3336 0.3328 0.1079 Pd
0.3299 0.3403 0.4440 Pt
0.0000 0.0000 0.0000 Pt
0.6701 0.6597 0.5560 Pt
```

Values from the calculation:
ΔE_f = -133 meV/atom
DOS at the Fermi energy = 10.08 states/eV/f.u.
total magnetic moment = 8.6 μB/f.u.

Fe2Pd3Pt3 | PBE | relaxed

Geometry as POSCAR:
```
Fe2Pd3Pt3
1.0
3.9235 0.0000 0.0000
0.0000 3.9016 0.0000
0.0000 0.0000 7.7692
Fe Pd Pt
2 3 3
Direct
0.0000 0.0000 0.7496 Fe
0.0000 0.0000 0.2504 Fe
0.5000 0.5000 0.7506 Pd
0.5000 0.5000 0.2494 Pd
0.5000 0.0000 0.0000 Pd
0.5000 0.0000 0.5000 Pt
0.0000 0.5000 0.0000 Pt
0.0000 0.5000 0.5000 Pt
```

Values from the calculation:
ΔE_f = -159 meV/atom
DOS at the Fermi energy = 7.46 states/eV/f.u.
total magnetic moment = 9.1 μB/f.u.

FePd2Pt8 | PBE | relaxed

Geometry as POSCAR:
```
FePd2Pt8
1.0
3.7777 0.0000 -1.0859
-0.5950 5.8663 -2.0699
0.0729 0.6113 7.3674
Pt Fe Pd
8 1 2
Direct
0.5894 0.4404 0.1788 Pt
0.3204 0.0894 0.6408 Pt
0.1323 0.1727 0.2647 Pt
0.0445 0.7294 0.0889 Pt
0.8677 0.8273 0.7353 Pt
0.6796 0.9106 0.3592 Pt
0.4106 0.5596 0.8212 Pt
0.9556 0.2706 0.9111 Pt
0.5000 0.0000 0.0000 Fe
0.2244 0.6326 0.4487 Pd
0.7756 0.3674 0.5513 Pd
```

Values from the calculation:
ΔE_f = -114 meV/atom
DOS at the Fermi energy = 14.65 states/eV/f.u.
total magnetic moment = 5.5 μB/f.u.

FePd3Pt | PBE | relaxed

Geometry as POSCAR:
```
FePd3Pt
1.0
4.5114 0.0000 0.0000
0.0000 4.5114 0.0000
0.0000 0.0000 4.5114
Pd Pt Fe
3 1 1
Direct
0.0000 0.5000 0.0000 Pd
0.0000 0.0000 0.5000 Pd
0.5000 0.0000 0.0000 Pd
0.5000 0.5000 0.5000 Pt
0.0000 0.0000 0.0000 Fe
```

Values from the calculation:
ΔE_f = 903 meV/atom
DOS at the Fermi energy = 4.25 states/eV/f.u.
total magnetic moment = 3.6 μB/f.u.

FePd3Pt5 | PBE | relaxed

Geometry as POSCAR:
```
FePd3Pt5
1.0
6.9551 0.0000 0.0000
0.0000 6.9551 0.0000
-3.4776 -3.4776 6.1443
Fe Pd Pt
2 6 10
Direct
0.7500 0.2500 0.5000 Fe
0.2500 0.7500 0.5000 Fe
0.6233 0.1233 0.0000 Pd
0.3767 0.8767 0.0000 Pd
0.8767 0.6233 0.0000 Pd
0.1233 0.3767 0.0000 Pd
0.2500 0.2500 0.5000 Pd
0.7500 0.7500 0.5000 Pd
0.0512 0.5512 0.7072 Pt
0.6560 0.1560 0.7072 Pt
0.1560 0.0512 0.7072 Pt
0.5512 0.6560 0.7072 Pt
0.9488 0.4488 0.2928 Pt
0.3440 0.8440 0.2928 Pt
0.8440 0.9488 0.2928 Pt
0.4488 0.3440 0.2928 Pt
0.5000 0.5000 0.0000 Pt
0.0000 0.0000 0.0000 Pt
```

Values from the calculation:
ΔE_f = 318 meV/atom
DOS at the Fermi energy = 11.80 states/eV/f.u.
total magnetic moment = 3.4 μB/f.u.

FePd2Pt | PBE | relaxed

Geometry as POSCAR:
```
FePd2Pt
1.0
3.8857 0.0000 0.0000
0.0000 5.5297 -0.5340
0.0000 0.2645 2.7334
Fe Pd Pt
1 2 1
Direct
0.5000 0.7500 0.5000 Fe
0.0000 0.9914 0.0000 Pd
0.0000 0.5086 0.0000 Pd
0.5000 0.2500 0.5000 Pt
```

Values from the calculation:
ΔE_f = -98 meV/atom
DOS at the Fermi energy = 4.67 states/eV/f.u.
total magnetic moment = 4.2 μB/f.u.